Dy2HoU2Ru5: optimized geometry, PBE.

Unit cell a=10.586 b=10.586 c=3.595 alpha=90.00 beta=90.00 gamma=90.00
Space group P4/mbm (No. 127)
Symmetry-distinct sites (fractional):
Dy  0.174  0.326  0.000 (multiplicity 4)
Ho  0.000  0.000  0.000 (multiplicity 2)
U  0.135  0.635  0.000 (multiplicity 4)
Ru  0.000  0.500  0.500 (multiplicity 2)
Ru  0.054  0.787  0.500 (multiplicity 8)

Calculated formation energy ... -287 meV/atom
Total magnetization ... 0.00 Bohr magnetons per cell
V ... 20.14 Å³/atom